No. 1
Computed, not measured: crystalline RePd at its relaxed geometry at the PBE level of DFT.

Calculated values
Formation energy   0.1 eV per formula unit
Mass density   16.118 g/cm³
V   15.1 Å³/atom
Energy above the lowest structure with this stoichiometry   0 meV/atom

Lattice parameters (Å, degrees): 2.719 3.969 5.590 90.00 92.03 90.00
Sites, in units of the cell vectors:
Re1 0.197 0.250 0.116
Re2 0.803 0.750 0.884
Pd1 0.251 0.250 0.625
Pd2 0.749 0.750 0.375

***

No. 2
Computed, not measured: crystalline Y5Tl4H at its relaxed geometry at the PBE level of DFT.

Calculated values
Electronic total energy   -4.70 eV per atom
Mass density   7.955 g/cm³
V   26.4 Å³/atom

Lattice parameters (Å, degrees): 7.318 7.318 7.318 99.24 99.24 132.75
Sites, in units of the cell vectors:
Y1 0.000 0.000 0.000
Y2 0.281 0.625 0.908
Y3 0.373 0.281 0.656
Y4 0.625 0.717 0.344
Y5 0.717 0.373 0.092
Tl1 0.046 0.339 0.382
Tl2 0.339 0.957 0.293
Tl3 0.664 0.046 0.707
Tl4 0.957 0.664 0.618
H1 0.610 0.610 0.000

***

No. 3
Computed, not measured: crystalline NdYZn3 at its relaxed geometry at the PBE level of DFT.

Calculated values
Formation energy   -1.7 eV per formula unit
Mass density   6.378 g/cm³
V   22.4 Å³/atom

Lattice parameters (Å, degrees): 13.917 13.917 4.494 90.00 90.00 165.11
Sites, in units of the cell vectors:
Nd1 0.208 0.792 0.750
Nd2 0.792 0.208 0.250
Y1 0.070 0.930 0.250
Y2 0.930 0.070 0.750
Zn1 0.336 0.664 0.750
Zn2 0.386 0.614 0.250
Zn3 0.477 0.523 0.250
Zn4 0.523 0.477 0.750
Zn5 0.614 0.386 0.750
Zn6 0.664 0.336 0.250

***

No. 4
Computed, not measured: crystalline CoHgSe at its relaxed geometry at the PBE level of DFT.

Calculated values
Mass density   9.712 g/cm³
V   19.3 Å³/atom
Energy above the lowest structure with this stoichiometry   180 meV/atom

Lattice parameters (Å, degrees): 3.325 3.325 6.046 90.00 90.00 120.00
Sites, in units of the cell vectors:
Co1 0.000 0.000 0.000
Hg1 0.667 0.333 0.667
Se1 0.333 0.667 0.204

***

No. 5
Computed, not measured: crystalline Ac2MnBPt6 at its relaxed geometry at the PBE level of DFT.

Calculated values
Formation energy   -7.8 eV per formula unit
Mass density   14.333 g/cm³
V   19.6 Å³/atom

Lattice parameters (Å, degrees): 7.349 7.349 7.349 47.26 47.26 47.26
Sites, in units of the cell vectors:
Ac1 0.218 0.218 0.218
Ac2 0.782 0.782 0.782
Mn1 0.500 0.500 0.500
B1 0.000 0.000 0.000
Pt1 0.236 0.236 0.711
Pt2 0.236 0.711 0.236
Pt3 0.289 0.764 0.764
Pt4 0.711 0.236 0.236
Pt5 0.764 0.289 0.764
Pt6 0.764 0.764 0.289

***

No. 6
Computed, not measured: crystalline LaY7Er4 at its relaxed geometry at the PBE level of DFT.

Calculated values
Formation energy   0.0 eV per formula unit
Mass density   6.161 g/cm³
V   32.1 Å³/atom
Energy above the lowest structure with this stoichiometry   0 meV/atom

Lattice parameters (Å, degrees): 6.222 7.198 8.856 89.98 76.39 89.98
Sites, in units of the cell vectors:
La1 0.000 0.000 0.000
Y1 0.000 0.500 0.000
Y2 0.223 0.000 0.337
Y3 0.280 0.747 0.663
Y4 0.499 0.253 0.999
Y5 0.501 0.747 0.001
Y6 0.720 0.253 0.337
Y7 0.777 0.000 0.663
Er1 0.221 0.500 0.336
Er2 0.277 0.253 0.664
Er3 0.723 0.747 0.336
Er4 0.779 0.500 0.664

***

No. 7
Computed, not measured: crystalline CaHgCl at its relaxed geometry at the PBE level of DFT.

Calculated values
Mass density   4.660 g/cm³
V   32.8 Å³/atom
Energy above the lowest structure with this stoichiometry   81 meV/atom

Lattice parameters (Å, degrees): 4.033 4.033 6.985 90.00 90.00 120.00
Sites, in units of the cell vectors:
Ca1 0.000 0.000 0.000
Hg1 0.667 0.333 0.703
Cl1 0.333 0.667 0.209

***

No. 8
Computed, not measured: crystalline LiNdPu2N4 at its relaxed geometry at the PBE level of DFT.

Calculated values
Electronic total energy   -9.74 eV per atom
Mass density   10.492 g/cm³
V   13.8 Å³/atom

Lattice parameters (Å, degrees): 5.901 5.901 11.185 90.00 90.00 145.60
Sites, in units of the cell vectors:
Li1 0.163 0.837 0.750
Li2 0.837 0.163 0.250
Nd1 0.105 0.895 0.250
Nd2 0.895 0.105 0.750
Pu1 0.370 0.630 0.058
Pu2 0.370 0.630 0.442
Pu3 0.630 0.370 0.558
Pu4 0.630 0.370 0.942
N1 0.000 0.000 0.000
N2 0.000 0.000 0.500
N3 0.266 0.734 0.610
N4 0.266 0.734 0.890
N5 0.442 0.558 0.250
N6 0.558 0.442 0.750
N7 0.734 0.266 0.110
N8 0.734 0.266 0.390

***

No. 9
Computed, not measured: crystalline NaAc2Te6Pb3 at its relaxed geometry at the PBE level of DFT.

Calculated values
Electronic total energy   -4.16 eV per atom
Mass density   6.940 g/cm³
V   37.2 Å³/atom

Lattice parameters (Å, degrees): 10.467 10.467 9.140 102.35 102.35 27.17
Sites, in units of the cell vectors:
Na1 0.000 0.000 0.000
Ac1 0.337 0.337 0.682
Ac2 0.663 0.663 0.318
Te1 0.167 0.167 0.573
Te2 0.170 0.170 0.072
Te3 0.500 0.500 0.252
Te4 0.500 0.500 0.748
Te5 0.830 0.830 0.928
Te6 0.833 0.833 0.427
Pb1 0.000 0.000 0.500
Pb2 0.337 0.337 0.155
Pb3 0.663 0.663 0.845

***

No. 10
Computed, not measured: crystalline NaHfZnCl2 at its relaxed geometry at the PBE level of DFT.

Calculated values
Electronic total energy   -3.59 eV per atom
Mass density   3.401 g/cm³
V   33.0 Å³/atom

Lattice parameters (Å, degrees): 4.925 4.925 6.801 90.00 90.00 90.00
Sites, in units of the cell vectors:
Na1 0.000 0.000 0.000
Hf1 0.000 0.000 0.500
Zn1 0.500 0.500 0.000
Cl1 0.000 0.500 0.500
Cl2 0.500 0.000 0.500

***

No. 11
Computed, not measured: crystalline GaGePt2 at its relaxed geometry at the PBE level of DFT.

Calculated values
Formation energy   -1.6 eV per formula unit
Mass density   11.832 g/cm³
V   18.7 Å³/atom

Lattice parameters (Å, degrees): 7.169 4.682 8.907 90.00 90.00 90.00
Sites, in units of the cell vectors:
Ga1 0.065 0.250 0.115
Ga2 0.435 0.750 0.615
Ga3 0.565 0.250 0.385
Ga4 0.935 0.750 0.885
Ge1 0.034 0.750 0.319
Ge2 0.466 0.250 0.819
Ge3 0.534 0.750 0.181
Ge4 0.966 0.250 0.681
Pt1 0.057 0.750 0.601
Pt2 0.201 0.750 0.082
Pt3 0.299 0.250 0.582
Pt4 0.443 0.250 0.101
Pt5 0.557 0.750 0.899
Pt6 0.701 0.750 0.418
Pt7 0.799 0.250 0.918
Pt8 0.943 0.250 0.399

***

No. 12
Computed, not measured: crystalline Tc3NiBr at its relaxed geometry at the PBE level of DFT.

Calculated values
Mass density   7.501 g/cm³
V   19.2 Å³/atom
Energy above the lowest structure with this stoichiometry   0 meV/atom

Lattice parameters (Å, degrees): 4.575 4.575 4.575 90.00 90.00 90.00
Sites, in units of the cell vectors:
Tc1 0.000 0.000 0.500
Tc2 0.000 0.500 0.000
Tc3 0.500 0.000 0.000
Ni1 0.000 0.000 0.000
Br1 0.500 0.500 0.500

***

No. 13
Computed, not measured: crystalline PuAl3GaAu at its relaxed geometry at the PBE level of DFT.

Calculated values
Formation energy   -0.4 eV per formula unit
Mass density   7.063 g/cm³
V   23.2 Å³/atom

Lattice parameters (Å, degrees): 8.704 8.704 5.741 90.00 90.00 140.24
Sites, in units of the cell vectors:
Pu1 0.165 0.835 0.750
Pu2 0.835 0.165 0.250
Al1 0.238 0.238 0.000
Al2 0.238 0.238 0.500
Al3 0.257 0.743 0.250
Al4 0.743 0.257 0.750
Al5 0.762 0.762 0.000
Al6 0.762 0.762 0.500
Ga1 0.104 0.896 0.250
Ga2 0.896 0.104 0.750
Au1 0.409 0.591 0.250
Au2 0.591 0.409 0.750

***

No. 14
Computed, not measured: crystalline SrCuH4 at its relaxed geometry at the PBE level of DFT.

Calculated values
Electronic total energy   -3.21 eV per atom
Mass density   3.574 g/cm³
V   12.0 Å³/atom

Lattice parameters (Å, degrees): 4.672 4.672 4.672 60.00 60.00 60.00
Sites, in units of the cell vectors:
Sr1 0.000 0.000 0.000
Cu1 0.500 0.500 0.500
H1 0.362 0.362 0.362
H2 0.362 0.362 0.915
H3 0.362 0.915 0.362
H4 0.915 0.362 0.362

***

No. 15
Computed, not measured: crystalline LaPt3 at its relaxed geometry at the PBE level of DFT.

Calculated values
Formation energy   -2.9 eV per formula unit
Mass density   15.585 g/cm³
V   19.3 Å³/atom

Lattice parameters (Å, degrees): 5.255 5.255 5.255 132.61 132.61 69.27
Sites, in units of the cell vectors:
La1 0.000 0.000 0.000
Pt1 0.250 0.750 0.500
Pt2 0.500 0.500 0.000
Pt3 0.750 0.250 0.500

***

No. 16
Computed, not measured: crystalline LiP2PtCl at its relaxed geometry at the PBE level of DFT.

Calculated values
Mass density   2.945 g/cm³
V   33.8 Å³/atom
Energy above the lowest structure with this stoichiometry   0 meV/atom

Lattice parameters (Å, degrees): 4.427 4.427 8.616 90.00 90.00 90.00
Sites, in units of the cell vectors:
Li1 0.000 0.000 0.000
P1 0.000 0.500 0.500
P2 0.500 0.000 0.500
Pt1 0.500 0.500 0.500
Cl1 0.500 0.500 0.000

***

No. 17
Computed, not measured: crystalline La2Pm3Hg2 at its relaxed geometry at the PBE level of DFT.

Calculated values
Formation energy   -1.5 eV per formula unit
Mass density   8.369 g/cm³
V   31.6 Å³/atom
Energy above the lowest structure with this stoichiometry   0 meV/atom

Lattice parameters (Å, degrees): 15.974 15.974 3.714 90.00 90.00 166.51
Sites, in units of the cell vectors:
La1 0.205 0.795 0.000
La2 0.795 0.205 0.000
Pm1 0.079 0.921 0.000
Pm2 0.500 0.500 0.500
Pm3 0.921 0.079 0.000
Hg1 0.362 0.638 0.500
Hg2 0.638 0.362 0.500

***

No. 18
Computed, not measured: crystalline Nb2Te2O at its relaxed geometry at the PBE level of DFT.

Calculated values
Electronic total energy   -6.68 eV per atom
Mass density   7.616 g/cm³
V   19.9 Å³/atom

Lattice parameters (Å, degrees): 6.025 6.025 5.490 90.00 90.00 90.00
Sites, in units of the cell vectors:
Nb1 0.212 0.288 0.000
Nb2 0.288 0.788 0.000
Nb3 0.712 0.212 0.000
Nb4 0.788 0.712 0.000
Te1 0.173 0.673 0.500
Te2 0.327 0.173 0.500
Te3 0.673 0.827 0.500
Te4 0.827 0.327 0.500
O1 0.000 0.000 0.000
O2 0.500 0.500 0.000

***

No. 19
Computed, not measured: crystalline Te4Rh3 at its relaxed geometry at the PBE level of DFT.

Calculated values
Electronic total energy   -5.09 eV per atom
Mass density   8.469 g/cm³
V   22.9 Å³/atom

Lattice parameters (Å, degrees): 13.250 13.250 13.250 164.76 164.76 21.61
Sites, in units of the cell vectors:
Te1 0.058 0.058 0.000
Te2 0.321 0.321 0.000
Te3 0.679 0.679 0.000
Te4 0.942 0.942 0.000
Rh1 0.219 0.219 0.000
Rh2 0.500 0.500 0.000
Rh3 0.781 0.781 0.000

***

No. 20
Computed, not measured: crystalline BeFeCo4 at its relaxed geometry at the PBE level of DFT.

Calculated values
Formation energy   1.2 eV per formula unit
Mass density   7.244 g/cm³
V   11.5 Å³/atom
Energy above the lowest structure with this stoichiometry   0 meV/atom

Lattice parameters (Å, degrees): 4.602 4.602 4.602 60.00 60.00 60.00
Sites, in units of the cell vectors:
Be1 0.000 0.000 0.000
Fe1 0.250 0.250 0.250
Co1 0.124 0.625 0.625
Co2 0.625 0.124 0.625
Co3 0.625 0.625 0.124
Co4 0.625 0.625 0.625